1.
# BaP2Au (PBE-GGA, optimized geometry)
# ΔH_f (0 K)   -80.0 meV/atom
# Energy above the lowest structure with this stoichiometry   495 meV per atom
data_BaP2Au
_space_group_name_H-M_alt 'P 4/m m m'
_space_group_IT_number 123
_space_group_name_Hall '-P 4 2'
_cell_length_a 3.7990
_cell_length_b 3.7990
_cell_length_c 6.5232
_cell_angle_alpha 90.00
_cell_angle_beta 90.00
_cell_angle_gamma 90.00
loop_
_atom_site_label
_atom_site_type_symbol
_atom_site_fract_x
_atom_site_fract_y
_atom_site_fract_z
_atom_site_occupancy
Ba1 Ba 0.0000 0.0000 0.0000 1
P1 P 0.5000 0.5000 0.3361 1
Au1 Au 0.0000 0.0000 0.5000 1

2.
# ErSeO (PBE-GGA, optimized geometry)
# ΔE_f (raw)   -6.87 eV/f.u.
data_ErSeO
_space_group_name_H-M_alt 'R -3 m'
_space_group_IT_number 166
_space_group_name_Hall '-R 3 2"'
_cell_length_a 3.7174
_cell_length_b 3.7174
_cell_length_c 28.3436
_cell_angle_alpha 90.00
_cell_angle_beta 90.00
_cell_angle_gamma 120.00
loop_
_atom_site_label
_atom_site_type_symbol
_atom_site_fract_x
_atom_site_fract_y
_atom_site_fract_z
_atom_site_occupancy
Er1 Er 0.0000 0.0000 0.1155 1
Se1 Se 0.0000 0.0000 0.3740 1
O1 O 0.0000 0.0000 0.1973 1

3.
# CdPRu2 (PBE-GGA, optimized geometry)
# ΔH_f (0 K)   -106.5 meV/atom
# Energy above the lowest structure with this stoichiometry   21 meV per atom
data_CdPRu2
_space_group_name_H-M_alt 'C 1 2/m 1'
_space_group_IT_number 12
_cell_length_a 6.5730
_cell_length_b 2.9427
_cell_length_c 7.0718
_cell_angle_alpha 90.00
_cell_angle_beta 103.96
_cell_angle_gamma 90.00
loop_
_space_group_symop_operation_xyz
'x,y,z'
'-x,-y,-z'
'-x,y,-z'
'x,-y,z'
'x+1/2,y+1/2,z'
'-x+1/2,-y+1/2,-z'
'-x+1/2,y+1/2,-z'
'x+1/2,-y+1/2,z'
loop_
_atom_site_label
_atom_site_type_symbol
_atom_site_fract_x
_atom_site_fract_y
_atom_site_fract_z
_atom_site_occupancy
Cd1 Cd 0.0000 0.0000 0.0000 1
P1 P 0.0000 0.5000 0.5000 1
Ru1 Ru 0.2452 0.5000 0.3267 1

4.
# MgScTc2 (PBE-GGA, optimized geometry)
# ΔH_f (0 K)   140.3 meV/atom
data_MgScTc2
_space_group_name_H-M_alt 'I m m m'
_space_group_IT_number 71
_space_group_name_Hall '-I 2 2'
_cell_length_a 3.3604
_cell_length_b 4.4326
_cell_length_c 8.9336
_cell_angle_alpha 90.00
_cell_angle_beta 90.00
_cell_angle_gamma 90.00
loop_
_atom_site_label
_atom_site_type_symbol
_atom_site_fract_x
_atom_site_fract_y
_atom_site_fract_z
_atom_site_occupancy
Mg1 Mg 0.0000 0.0000 0.0000 1
Sc1 Sc 0.0000 0.0000 0.5000 1
Tc1 Tc 0.0000 0.5000 0.2472 1

Copy entry 4 word for word.
# MgScTc2 (PBE-GGA, optimized geometry)
# ΔH_f (0 K)   140.3 meV/atom
data_MgScTc2
_space_group_name_H-M_alt 'I m m m'
_space_group_IT_number 71
_space_group_name_Hall '-I 2 2'
_cell_length_a 3.3604
_cell_length_b 4.4326
_cell_length_c 8.9336
_cell_angle_alpha 90.00
_cell_angle_beta 90.00
_cell_angle_gamma 90.00
loop_
_atom_site_label
_atom_site_type_symbol
_atom_site_fract_x
_atom_site_fract_y
_atom_site_fract_z
_atom_site_occupancy
Mg1 Mg 0.0000 0.0000 0.0000 1
Sc1 Sc 0.0000 0.0000 0.5000 1
Tc1 Tc 0.0000 0.5000 0.2472 1